! AcYTm, optimized geometry, DFT PBE-GGA; values from VASP
! - energy relative to the elements (eV/atom) = 0.07
! - SG = No. 14
! - size of the total moment (μB per formula unit) = 0.0
! - volume (Å³ per cell) = 424
! - ΔE to the lowest computed polymorph (eV/atom) = 0.005
&SYSTEM
  ibrav = 0, nat = 12, ntyp = 3
/
ATOMIC_SPECIES
Ac 227.00 Ac.upf
Y 88.91 Y.upf
Tm 168.93 Tm.upf
CELL_PARAMETERS angstrom
6.4871 0.0000 0.0000
0.0000 11.9863 0.0000
-2.9205 0.0000 5.4512
ATOMIC_POSITIONS angstrom
Ac 0.6492 1.5972 0.8522
Ac -0.8111 4.3960 3.5778
Ac 4.3777 7.5903 1.8734
Ac 2.9174 10.3891 4.5990
Y 1.1686 7.3868 0.0906
Y -0.2916 10.5926 2.8162
Y 3.8582 1.3937 2.6350
Y 2.3980 4.5995 5.3605
Tm 1.2061 7.3856 3.6073
Tm 2.6663 10.5938 0.8817
Tm 0.9003 1.3925 4.5695
Tm 2.3605 4.6006 1.8439